#P
ErScAu: optimized geometry, PBE.

Calculated values
The value obtained for the calculated volume is 78.4 Å³/f.u. The symmetry is R-3m (166).

a b c (Å): 8.293 8.293 8.293
angles (deg): 33.75 33.75 33.75
Element x y z (fractional)
Er (0.122, 0.122, 0.122)
Er (0.878, 0.878, 0.878)
Sc (0.372, 0.372, 0.372)
Sc (0.628, 0.628, 0.628)
Au (0.253, 0.253, 0.253)
Au (0.747, 0.747, 0.747)

***

#Q
ErScAu: optimized geometry, PBE.

Calculated values
The value obtained for the calculated volume is 71.0 Å³/f.u. The symmetry is P-62m (189).

a b c (Å): 7.199 7.199 4.747
angles (deg): 90.00 90.00 120.00
Element x y z (fractional)
Er (0.000, 0.590, 0.000)
Er (0.410, 0.410, 0.000)
Er (0.590, 0.000, 0.000)
Sc (0.000, 0.255, 0.500)
Sc (0.255, 0.000, 0.500)
Sc (0.745, 0.745, 0.500)
Au (0.000, 0.000, 0.000)
Au (0.333, 0.667, 0.500)
Au (0.667, 0.333, 0.500)

***

Short version: #P is the least stable of them.

***

#P
ErScAu: optimized geometry, PBE.

Calculated values
The value obtained for the calculated volume is 71.2 Å³/f.u. The symmetry is P3m1 (156).

a b c (Å): 4.744 4.744 3.651
angles (deg): 90.00 90.00 120.00
Element x y z (fractional)
Er (0.000, 0.000, 0.000)
Sc (0.333, 0.667, 0.528)
Au (0.667, 0.333, 0.352)

***

#Q
ErScAu: optimized geometry, PBE.

Calculated values
The value obtained for the calculated volume is 78.5 Å³/f.u. The symmetry is F-43m (216).

a b c (Å): 6.796 6.796 6.796
angles (deg): 90.00 90.00 90.00
Element x y z (fractional)
Er (0.000, 0.000, 0.000)
Er (0.000, 0.500, 0.500)
Er (0.500, 0.000, 0.500)
Er (0.500, 0.500, 0.000)
Sc (0.000, 0.000, 0.500)
Sc (0.000, 0.500, 0.000)
Sc (0.500, 0.000, 0.000)
Sc (0.500, 0.500, 0.500)
Au (0.250, 0.250, 0.750)
Au (0.250, 0.750, 0.250)
Au (0.750, 0.250, 0.250)
Au (0.750, 0.750, 0.750)

***

#R
ErScAu: optimized geometry, PBE.

Calculated values
The value obtained for the calculated volume is 70.8 Å³/f.u. The symmetry is I4mm (107).

a b c (Å): 3.478 3.478 11.697
angles (deg): 90.00 90.00 90.00
Element x y z (fractional)
Er (0.000, 0.000, 0.000)
Er (0.500, 0.500, 0.500)
Sc (0.000, 0.000, 0.704)
Sc (0.500, 0.500, 0.204)
Au (0.000, 0.000, 0.340)
Au (0.500, 0.500, 0.840)

***

#S
ErScAu: optimized geometry, PBE.

Calculated values
The value obtained for the calculated volume is 72.6 Å³/f.u. The symmetry is P4/nmm (129).

a b c (Å): 4.514 4.514 7.122
angles (deg): 90.00 90.00 90.00
Element x y z (fractional)
Er (0.250, 0.250, 0.135)
Er (0.750, 0.750, 0.865)
Sc (0.250, 0.750, 0.500)
Sc (0.750, 0.250, 0.500)
Au (0.250, 0.250, 0.738)
Au (0.750, 0.750, 0.262)

***

Short version: #Q is the least stable of them.

***

#P
Er2ScAu: optimized geometry, PBE.

Calculated values
The value obtained for the calculated volume is 97.5 Å³/f.u. The symmetry is P4/mmm (123).

a b c (Å): 5.072 5.072 3.791
angles (deg): 90.00 90.00 90.00
Element x y z (fractional)
Er (0.000, 0.500, 0.000)
Er (0.500, 0.000, 0.000)
Sc (0.000, 0.000, 0.500)
Au (0.500, 0.500, 0.500)

***

#Q
Er2ScAu: optimized geometry, PBE.

Calculated values
The value obtained for the calculated volume is 113.0 Å³/f.u. The symmetry is R-3m (166).

a b c (Å): 3.519 3.519 31.592
angles (deg): 90.00 90.00 120.00
Element x y z (fractional)
Er (0.000, 0.000, 0.100)
Er (0.000, 0.000, 0.900)
Er (0.333, 0.667, 0.567)
Er (0.333, 0.667, 0.767)
Er (0.667, 0.333, 0.233)
Er (0.667, 0.333, 0.433)
Sc (0.000, 0.000, 0.000)
Sc (0.333, 0.667, 0.667)
Sc (0.667, 0.333, 0.333)
Au (0.000, 0.000, 0.500)
Au (0.333, 0.667, 0.167)
Au (0.667, 0.333, 0.833)

***

Short version: #Q is the least stable of them.

***

#P
Er2ScAu: optimized geometry, PBE.

Calculated values
The value obtained for the calculated volume is 100.1 Å³/f.u. The symmetry is P4/mmm (123).

a b c (Å): 3.615 3.615 7.661
angles (deg): 90.00 90.00 90.00
Element x y z (fractional)
Er (0.000, 0.000, 0.224)
Er (0.000, 0.000, 0.776)
Sc (0.500, 0.500, 0.500)
Au (0.500, 0.500, 0.000)

***

#Q
Er2ScAu: optimized geometry, PBE.

Calculated values
The value obtained for the calculated volume is 107.2 Å³/f.u. The symmetry is R3m (160).

a b c (Å): 3.595 3.595 28.729
angles (deg): 90.00 90.00 120.00
Element x y z (fractional)
Er (0.000, 0.000, 0.000)
Er (0.000, 0.000, 0.185)
Er (0.333, 0.667, 0.667)
Er (0.333, 0.667, 0.852)
Er (0.667, 0.333, 0.333)
Er (0.667, 0.333, 0.519)
Sc (0.000, 0.000, 0.759)
Sc (0.333, 0.667, 0.426)
Sc (0.667, 0.333, 0.092)
Au (0.000, 0.000, 0.593)
Au (0.333, 0.667, 0.260)
Au (0.667, 0.333, 0.926)

***

Short version: #Q is the least stable of them.

***

#P
Er2ScAu3: optimized geometry, PBE.

Calculated values
The value obtained for the calculated volume is 130.0 Å³/f.u. The symmetry is P4/mmm (123).

a b c (Å): 3.494 3.494 10.654
angles (deg): 90.00 90.00 90.00
Element x y z (fractional)
Er (0.000, 0.000, 0.172)
Er (0.000, 0.000, 0.828)
Sc (0.000, 0.000, 0.500)
Au (0.500, 0.500, 0.000)
Au (0.500, 0.500, 0.347)
Au (0.500, 0.500, 0.653)

***

#Q
Er2ScAu3: optimized geometry, PBE.

Calculated values
The value obtained for the calculated volume is 130.9 Å³/f.u. The symmetry is P-3m1 (164).

a b c (Å): 4.979 4.979 12.192
angles (deg): 90.00 90.00 120.00
Element x y z (fractional)
Er (0.000, 0.000, 0.000)
Er (0.000, 0.000, 0.500)
Er (0.333, 0.667, 0.171)
Er (0.667, 0.333, 0.829)
Sc (0.333, 0.667, 0.665)
Sc (0.667, 0.333, 0.335)
Au (0.000, 0.000, 0.255)
Au (0.000, 0.000, 0.745)
Au (0.333, 0.667, 0.419)
Au (0.333, 0.667, 0.911)
Au (0.667, 0.333, 0.089)
Au (0.667, 0.333, 0.581)

***

Short version: #Q is the least stable of them.

***

#P
ErScTlAu: optimized geometry, PBE.

Calculated values
The value obtained for the calculated volume is 92.6 Å³/f.u. The symmetry is F-43m (216).

a b c (Å): 7.182 7.182 7.182
angles (deg): 90.00 90.00 90.00
Element x y z (fractional)
Er (0.000, 0.000, 0.000)
Er (0.000, 0.500, 0.500)
Er (0.500, 0.000, 0.500)
Er (0.500, 0.500, 0.000)
Sc (0.000, 0.000, 0.500)
Sc (0.000, 0.500, 0.000)
Sc (0.500, 0.000, 0.000)
Sc (0.500, 0.500, 0.500)
Tl (0.250, 0.250, 0.750)
Tl (0.250, 0.750, 0.250)
Tl (0.750, 0.250, 0.250)
Tl (0.750, 0.750, 0.750)
Au (0.250, 0.250, 0.250)
Au (0.250, 0.750, 0.750)
Au (0.750, 0.250, 0.750)
Au (0.750, 0.750, 0.250)

***

#Q
ErScTlAu: optimized geometry, PBE.

Calculated values
The value obtained for the calculated volume is 92.3 Å³/f.u. The symmetry is P4mm (99).

a b c (Å): 3.519 3.519 7.453
angles (deg): 90.00 90.00 90.00
Element x y z (fractional)
Er (0.000, 0.000, 0.000)
Sc (0.000, 0.000, 0.542)
Tl (0.500, 0.500, 0.284)
Au (0.500, 0.500, 0.753)

***

Short version: #P is the least stable of them.